1.
First-principles (GGA-PBEsol) data for an optimized crystal structure of EuGa2Sb2, as listed in Alexandria.

The calculation puts the electronic total energy at -5.799 eV per atom.

The space group is Pnma (No. 62) and the conventional cell measures 17.669, 4.340 and 6.522 Å, with angles of 90.00, 90.00 and 90.00 degrees. The distinct sites, in fractional coordinates, are Eu at (0.116, 0.250, 0.247), Ga at (0.068, 0.750, 0.566), Ga at (0.210, 0.750, 0.541), Sb at (0.030, 0.250, 0.786) and Sb at (0.207, 0.750, 0.953).

2.
First-principles (GGA-PBEsol) data for an optimized crystal structure of EuGaSn, as listed in Alexandria.

The calculation puts the electronic total energy at -6.693 eV per atom.

The space group is P6_3/mmc (No. 194) and the conventional cell measures 4.5044, 4.5044 and 17.2931 Å, with angles of 90.00, 90.00 and 120.00 degrees. The distinct sites, in fractional coordinates, are Eu at (0.0000, 0.0000, 0.0000), Eu at (0.0000, 0.0000, 0.2500), Ga at (0.3333, 0.6667, 0.1623) and Sn at (0.3333, 0.6667, 0.6146).

3.
First-principles (GGA-PBEsol) data for an optimized crystal structure of EuGa2Te4, as listed in Alexandria.

The calculation puts the electronic total energy at -5.177 eV per atom.

The space group is Cccm (No. 66) and the conventional cell measures 6.674, 11.298 and 11.368 Å, with angles of 90.00, 90.00 and 90.00 degrees. The distinct sites, in fractional coordinates, are Eu at (0.000, 0.000, 0.250), Ga at (0.002, 0.260, 0.000), Te at (0.234, 0.069, 0.500) and Te at (0.250, 0.250, 0.182).

4.
First-principles (GGA-PBEsol) data for an optimized crystal structure of Eu2ZnGa, as listed in Alexandria.

The calculation puts the electronic total energy at -6.901 eV per atom.

The space group is Fm-3m (No. 225) and the conventional cell measures 7.316, 7.316 and 7.316 Å, with angles of 90.00, 90.00 and 90.00 degrees. The distinct sites, in fractional coordinates, are Eu at (0.250, 0.250, 0.250), Zn at (0.000, 0.000, 0.000) and Ga at (0.000, 0.000, 0.500).

5.
First-principles (GGA-PBEsol) data for an optimized crystal structure of Eu5Ge3, as listed in Alexandria.

The calculation puts the electronic total energy at -9.140 eV per atom.

The space group is I4/mcm (No. 140) and the conventional cell measures 7.759, 7.759 and 14.481 Å, with angles of 90.00, 90.00 and 90.00 degrees. The distinct sites, in fractional coordinates, are Eu at (0.000, 0.000, 0.000), Eu at (0.175, 0.325, 0.147), Ge at (0.000, 0.000, 0.250) and Ge at (0.116, 0.384, 0.500).

6.
First-principles (GGA-PBEsol) data for an optimized crystal structure of EuGe2, as listed in Alexandria.

The calculation puts the electronic total energy at -7.419 eV per atom.

The space group is P-3m1 (No. 164) and the conventional cell measures 4.1325, 4.1325 and 4.5630 Å, with angles of 90.00, 90.00 and 120.00 degrees. The distinct sites, in fractional coordinates, are Eu at (0.0000, 0.0000, 0.0000) and Ge at (0.3333, 0.6667, 0.4018).

7.
First-principles (GGA-PBEsol) data for an optimized crystal structure of Eu3Ge4Ir4, as listed in Alexandria.

The calculation puts the electronic total energy at -8.955 eV per atom.

The space group is I-43m (No. 217) and the conventional cell measures 7.604, 7.604 and 7.604 Å, with angles of 90.00, 90.00 and 90.00 degrees. The distinct sites, in fractional coordinates, are Eu at (0.000, 0.000, 0.500), Ge at (0.189, 0.189, 0.811) and Ir at (0.132, 0.132, 0.132).

8.
First-principles (GGA-PBEsol) data for an optimized crystal structure of EuGe2Ir, as listed in Alexandria.

The calculation puts the electronic total energy at -8.266 eV per atom.

The space group is Cmcm (No. 63) and the conventional cell measures 4.358, 17.259 and 4.257 Å, with angles of 90.00, 90.00 and 90.00 degrees. The distinct sites, in fractional coordinates, are Eu at (0.000, 0.107, 0.250), Ge at (0.000, 0.249, 0.750), Ge at (0.000, 0.460, 0.250) and Ir at (0.000, 0.321, 0.250).

Please write out number 8 again, unchanged.
First-principles (GGA-PBEsol) data for an optimized crystal structure of EuGe2Ir, as listed in Alexandria.

The calculation puts the electronic total energy at -8.266 eV per atom.

The space group is Cmcm (No. 63) and the conventional cell measures 4.358, 17.259 and 4.257 Å, with angles of 90.00, 90.00 and 90.00 degrees. The distinct sites, in fractional coordinates, are Eu at (0.000, 0.107, 0.250), Ge at (0.000, 0.249, 0.750), Ge at (0.000, 0.460, 0.250) and Ir at (0.000, 0.321, 0.250).

What is the electronic total energy in the sixth record?
-7.419 eV per atom

What is the electronic total energy in the second record?
-6.693 eV per atom

What is the electronic total energy in the third record?
-5.177 eV per atom